Computed, not measured: crystalline TaCdSiBr2 at its relaxed geometry at the PBE level of DFT.

Lattice parameters (Å, degrees): 5.117 5.117 5.903 90.00 90.00 90.00
Space group P4/mmm (No. 123)
Symmetry-distinct sites (fractional):
Ta  0.000  0.000  0.000 x1
Cd  0.000  0.000  0.500 x1
Si  0.500  0.500  0.000 x1
Br  0.000  0.500  0.500 x2

Properties
Its total magnetization is 1.38 μB/cell. The uncorrected formation energy comes out at 695 kJ/mol of formula units. The calculation puts the density of states at the Fermi level at 1.50 states/eV per atom. The value obtained for the total energy is -0.1053 hartree per atom.